Material: Si2AgN3
Method: DFT, GGA-PBE
State: optimized geometry

CIF file:
```
data_Si2AgN3
_chemical_formula_sum 'Si6 Ag3 N9'
_space_group_name_H-M_alt 'P 1'
_space_group_IT_number 1
_cell_length_a 2.857
_cell_length_b 2.857
_cell_length_c 25.744
_cell_angle_alpha 90.00
_cell_angle_beta 90.00
_cell_angle_gamma 120.00
loop_
_space_group_symop_operation_xyz
'x,y,z'
loop_
_atom_site_label
_atom_site_fract_x
_atom_site_fract_y
_atom_site_fract_z
_atom_site_occupancy
N1 0.794 0.794 0.500 1
N2 0.672 0.656 0.915 1
N3 0.656 0.672 0.085 1
N4 0.206 0.000 0.833 1
N5 0.984 0.328 0.582 1
N6 0.344 0.016 0.248 1
N7 0.016 0.344 0.752 1
N8 0.000 0.206 0.167 1
N9 0.328 0.984 0.418 1
Si1 0.691 0.669 0.782 1
Si2 0.309 0.978 0.552 1
Si3 0.978 0.309 0.448 1
Si4 0.331 0.022 0.115 1
Si5 0.022 0.331 0.885 1
Si6 0.669 0.691 0.218 1
Ag1 0.000 0.351 0.667 1
Ag2 0.351 0.000 0.333 1
Ag3 0.649 0.649 0.000 1
```

## Properties
Final energy = -123.993 eV/cell
Crystal system = trigonal
Energy above the lowest structure with this stoichiometry = 0.189 eV per atom

=====

Material: SiAg3N
Method: DFT, GGA-PBE
State: optimized geometry

CIF file:
```
data_SiAg3N
_chemical_formula_sum 'Si1 Ag3 N1'
_space_group_name_H-M_alt 'P 1'
_space_group_IT_number 1
_cell_length_a 4.408
_cell_length_b 4.408
_cell_length_c 4.408
_cell_angle_alpha 90.00
_cell_angle_beta 90.00
_cell_angle_gamma 90.00
loop_
_space_group_symop_operation_xyz
'x,y,z'
loop_
_atom_site_label
_atom_site_fract_x
_atom_site_fract_y
_atom_site_fract_z
_atom_site_occupancy
N1 0.000 0.000 0.000 1
Ag1 0.000 0.500 0.000 1
Ag2 0.000 0.000 0.500 1
Ag3 0.500 0.000 0.000 1
Si1 0.500 0.500 0.500 1
```

## Properties
Final energy = -17.870 eV/cell
Crystal system = cubic
Energy above the lowest structure with this stoichiometry = 0.000 eV per atom

=====

Material: SiAgN2
Method: DFT, GGA-PBE
State: optimized geometry

CIF file:
```
data_SiAgN2
_chemical_formula_sum 'Si1 Ag1 N2'
_space_group_name_H-M_alt 'P 1'
_space_group_IT_number 1
_cell_length_a 6.304
_cell_length_b 6.304
_cell_length_c 6.304
_cell_angle_alpha 26.15
_cell_angle_beta 26.15
_cell_angle_gamma 26.15
loop_
_space_group_symop_operation_xyz
'x,y,z'
loop_
_atom_site_label
_atom_site_fract_x
_atom_site_fract_y
_atom_site_fract_z
_atom_site_occupancy
N1 0.114 0.114 0.114 1
N2 0.886 0.886 0.886 1
Si1 0.500 0.500 0.500 1
Ag1 0.000 0.000 0.000 1
```

## Properties
Final energy = -24.767 eV/cell
Crystal system = trigonal
Energy above the lowest structure with this stoichiometry = 0.120 eV per atom

=====

Material: SiAgTe2N
Method: DFT, GGA-PBE
State: optimized geometry

CIF file:
```
data_SiAgTe2N
_chemical_formula_sum 'Si1 Ag1 Te2 N1'
_space_group_name_H-M_alt 'P 1'
_space_group_IT_number 1
_cell_length_a 5.563
_cell_length_b 5.563
_cell_length_c 3.945
_cell_angle_alpha 90.00
_cell_angle_beta 90.00
_cell_angle_gamma 90.00
loop_
_space_group_symop_operation_xyz
'x,y,z'
loop_
_atom_site_label
_atom_site_fract_x
_atom_site_fract_y
_atom_site_fract_z
_atom_site_occupancy
Ag1 0.000 0.000 0.000 1
N1 0.000 0.000 0.500 1
Te1 0.500 0.000 0.000 1
Te2 0.000 0.500 0.000 1
Si1 0.500 0.500 0.500 1
```

## Properties
Final energy = -16.635 eV/cell
Crystal system = tetragonal
Energy above the lowest structure with this stoichiometry = 1.028 eV per atom

=====

Material: SiAgTe2N
Method: DFT, GGA-PBE
State: optimized geometry

CIF file:
```
data_SiAgTe2N
_chemical_formula_sum 'Si1 Ag1 Te2 N1'
_space_group_name_H-M_alt 'P 1'
_space_group_IT_number 1
_cell_length_a 5.726
_cell_length_b 5.726
_cell_length_c 3.248
_cell_angle_alpha 90.00
_cell_angle_beta 90.00
_cell_angle_gamma 90.00
loop_
_space_group_symop_operation_xyz
'x,y,z'
loop_
_atom_site_label
_atom_site_fract_x
_atom_site_fract_y
_atom_site_fract_z
_atom_site_occupancy
Te1 0.500 0.000 0.000 1
Te2 0.000 0.500 0.000 1
Si1 0.000 0.000 0.000 1
N1 0.000 0.000 0.500 1
Ag1 0.500 0.500 0.500 1
```

## Properties
Final energy = -21.775 eV/cell
Crystal system = tetragonal
Energy above the lowest structure with this stoichiometry = 0.000 eV per atom

=====

Material: SmAgN
Method: DFT, GGA-PBE
State: optimized geometry

CIF file:
```
data_SmAgN
_chemical_formula_sum 'Sm2 Ag2 N2'
_space_group_name_H-M_alt 'P 1'
_space_group_IT_number 1
_cell_length_a 3.731
_cell_length_b 6.391
_cell_length_c 15.267
_cell_angle_alpha 153.29
_cell_angle_beta 90.00
_cell_angle_gamma 106.97
loop_
_space_group_symop_operation_xyz
'x,y,z'
loop_
_atom_site_label
_atom_site_fract_x
_atom_site_fract_y
_atom_site_fract_z
_atom_site_occupancy
Sm1 0.063 0.126 0.173 1
Sm2 0.937 0.874 0.827 1
Ag1 0.009 0.018 0.679 1
Ag2 0.991 0.982 0.321 1
N1 0.138 0.276 0.624 1
N2 0.862 0.724 0.376 1
```

## Properties
Final energy = -32.987 eV/cell
Crystal system = monoclinic

=====

Material: Sm4AgN
Method: DFT, GGA-PBE
State: optimized geometry

CIF file:
```
data_Sm4AgN
_chemical_formula_sum 'Sm4 Ag1 N1'
_space_group_name_H-M_alt 'P 1'
_space_group_IT_number 1
_cell_length_a 3.741
_cell_length_b 6.694
_cell_length_c 6.693
_cell_angle_alpha 92.87
_cell_angle_beta 90.00
_cell_angle_gamma 90.00
loop_
_space_group_symop_operation_xyz
'x,y,z'
loop_
_atom_site_label
_atom_site_fract_x
_atom_site_fract_y
_atom_site_fract_z
_atom_site_occupancy
Ag1 0.000 0.500 0.500 1
Sm1 0.000 0.179 0.179 1
Sm2 0.500 0.250 0.750 1
Sm3 0.500 0.750 0.250 1
Sm4 0.000 0.821 0.821 1
N1 0.500 0.000 0.000 1
```

## Properties
Final energy = -32.462 eV/cell
Crystal system = orthorhombic

=====

Material: Sm2AgN
Method: DFT, GGA-PBE
State: optimized geometry

CIF file:
```
data_Sm2AgN
_chemical_formula_sum 'Sm2 Ag1 N1'
_space_group_name_H-M_alt 'P 1'
_space_group_IT_number 1
_cell_length_a 3.616
_cell_length_b 3.616
_cell_length_c 7.922
_cell_angle_alpha 76.81
_cell_angle_beta 76.81
_cell_angle_gamma 60.00
loop_
_space_group_symop_operation_xyz
'x,y,z'
loop_
_atom_site_label
_atom_site_fract_x
_atom_site_fract_y
_atom_site_fract_z
_atom_site_occupancy
Sm1 0.273 0.273 0.181 1
Sm2 0.727 0.727 0.819 1
N1 0.000 0.000 0.000 1
Ag1 0.500 0.500 0.500 1
```

## Properties
Final energy = -23.558 eV/cell
Crystal system = trigonal

=====

Material: Sm6Ag2N
Method: DFT, GGA-PBE
State: optimized geometry

CIF file:
```
data_Sm6Ag2N
_chemical_formula_sum 'Sm12 Ag4 N2'
_space_group_name_H-M_alt 'P 1'
_space_group_IT_number 1
_cell_length_a 6.775
_cell_length_b 7.194
_cell_length_c 10.007
_cell_angle_alpha 90.00
_cell_angle_beta 89.37
_cell_angle_gamma 90.00
loop_
_space_group_symop_operation_xyz
'x,y,z'
loop_
_atom_site_label
_atom_site_fract_x
_atom_site_fract_y
_atom_site_fract_z
_atom_site_occupancy
Sm1 0.314 0.788 0.951 1
Sm2 0.814 0.712 0.451 1
Sm3 0.894 0.980 0.741 1
Sm4 0.686 0.212 0.049 1
Sm5 0.797 0.694 0.050 1
Sm6 0.203 0.306 0.950 1
Sm7 0.703 0.194 0.450 1
Sm8 0.394 0.520 0.241 1
Sm9 0.106 0.020 0.259 1
Sm10 0.186 0.288 0.549 1
Sm11 0.606 0.480 0.759 1
Sm12 0.297 0.806 0.550 1
Ag1 0.039 0.572 0.750 1
Ag2 0.461 0.072 0.750 1
Ag3 0.539 0.928 0.250 1
Ag4 0.961 0.428 0.250 1
N1 0.000 0.000 0.500 1
N2 0.500 0.500 0.000 1
```

## Properties
Final energy = -92.143 eV/cell
Crystal system = monoclinic

=====

Material: Sm12Ag3N5
Method: DFT, GGA-PBE
State: optimized geometry

CIF file:
```
data_Sm12Ag3N5
_chemical_formula_sum 'Sm48 Ag12 N20'
_space_group_name_H-M_alt 'P 1'
_space_group_IT_number 1
_cell_length_a 13.739
_cell_length_b 13.739
_cell_length_c 13.739
_cell_angle_alpha 109.47
_cell_angle_beta 109.47
_cell_angle_gamma 109.47
loop_
_space_group_symop_operation_xyz
'x,y,z'
loop_
_atom_site_label
_atom_site_fract_x
_atom_site_fract_y
_atom_site_fract_z
_atom_site_occupancy
Sm1 0.515 0.199 0.112 1
Sm2 0.903 0.816 0.515 1
Sm3 0.485 0.684 0.097 1
Sm4 0.699 0.588 0.184 1
Sm5 0.912 0.816 0.801 1
Sm6 0.588 0.699 0.684 1
Sm7 0.301 0.412 0.816 1
Sm8 0.684 0.485 0.597 1
Sm9 0.612 0.015 0.199 1
Sm10 0.888 0.301 0.485 1
Sm11 0.912 0.097 0.612 1
Sm12 0.316 0.801 0.412 1
Sm13 0.597 0.612 0.412 1
Sm14 0.403 0.388 0.588 1
Sm15 0.903 0.088 0.888 1
Sm16 0.801 0.485 0.388 1
Sm17 0.112 0.699 0.515 1
Sm18 0.301 0.888 0.985 1
Sm19 0.199 0.515 0.612 1
Sm20 0.199 0.684 0.088 1
Sm21 0.388 0.985 0.801 1
Sm22 0.816 0.903 0.015 1
Sm23 0.515 0.316 0.903 1
Sm24 0.684 0.199 0.588 1
Sm25 0.112 0.412 0.097 1
Sm26 0.403 0.015 0.316 1
Sm27 0.097 0.912 0.112 1
Sm28 0.816 0.912 0.301 1
Sm29 0.097 0.184 0.485 1
Sm30 0.985 0.597 0.184 1
Sm31 0.184 0.097 0.985 1
Sm32 0.597 0.985 0.684 1
Sm33 0.412 0.112 0.597 1
Sm34 0.316 0.515 0.403 1
Sm35 0.088 0.184 0.199 1
Sm36 0.184 0.088 0.699 1
Sm37 0.388 0.403 0.088 1
Sm38 0.801 0.316 0.912 1
Sm39 0.015 0.403 0.816 1
Sm40 0.588 0.888 0.403 1
Sm41 0.699 0.112 0.015 1
Sm42 0.985 0.388 0.301 1
Sm43 0.412 0.301 0.316 1
Sm44 0.612 0.597 0.912 1
Sm45 0.888 0.588 0.903 1
Sm46 0.015 0.612 0.699 1
Sm47 0.088 0.903 0.388 1
Sm48 0.485 0.801 0.888 1
N1 0.750 0.625 0.375 1
N2 0.500 0.000 0.000 1
N3 0.500 0.500 0.000 1
N4 0.500 0.000 0.500 1
N5 0.750 0.125 0.875 1
N6 0.125 0.375 0.250 1
N7 0.000 0.000 0.000 1
N8 0.500 0.500 0.500 1
N9 0.000 0.500 0.000 1
N10 0.375 0.125 0.750 1
N11 0.250 0.875 0.125 1
N12 0.875 0.250 0.625 1
N13 0.125 0.750 0.375 1
N14 0.625 0.875 0.250 1
N15 0.250 0.375 0.625 1
N16 0.375 0.250 0.125 1
N17 0.625 0.750 0.875 1
N18 0.875 0.625 0.750 1
N19 0.000 0.000 0.500 1
N20 0.000 0.500 0.500 1
Ag1 0.750 0.375 0.125 1
Ag2 0.375 0.750 0.625 1
Ag3 0.625 0.250 0.375 1
Ag4 0.125 0.875 0.750 1
Ag5 0.750 0.875 0.625 1
Ag6 0.875 0.125 0.250 1
Ag7 0.625 0.375 0.750 1
Ag8 0.375 0.625 0.250 1
Ag9 0.875 0.750 0.125 1
Ag10 0.250 0.625 0.875 1
Ag11 0.250 0.125 0.375 1
Ag12 0.125 0.250 0.875 1
```

## Properties
Final energy = -480.728 eV/cell
Crystal system = cubic

=====

Material: SmY2AgN
Method: DFT, GGA-PBE
State: optimized geometry

CIF file:
```
data_SmY2AgN
_chemical_formula_sum 'Sm1 Y2 Ag1 N1'
_space_group_name_H-M_alt 'P 1'
_space_group_IT_number 1
_cell_length_a 4.779
_cell_length_b 4.779
_cell_length_c 4.991
_cell_angle_alpha 90.00
_cell_angle_beta 90.00
_cell_angle_gamma 90.00
loop_
_space_group_symop_operation_xyz
'x,y,z'
loop_
_atom_site_label
_atom_site_fract_x
_atom_site_fract_y
_atom_site_fract_z
_atom_site_occupancy
Ag1 0.500 0.500 0.500 1
N1 0.000 0.000 0.000 1
Sm1 0.000 0.000 0.500 1
Y1 0.000 0.500 0.000 1
Y2 0.500 0.000 0.000 1
```

## Properties
Final energy = -32.397 eV/cell
Crystal system = tetragonal